The following is a PBE-GGA calculation of BaGeN3 after structural relaxation, from Alexandria via LeMat-Bulk.

Values from the calculation:
- formation energy from raw total energies (meV per atom) = 597
- size of the total moment (μB per formula unit) = 2.944
- raw total energy (eV/atom) = -5.71

Unit cell a=4.0667 b=4.0667 c=4.0667 alpha=90.00 beta=90.00 gamma=90.00
Last column: nearest neighbours and their distance in Å.
Space group Pm-3m (No. 221)
Symmetry-distinct sites (fractional):
Ba  0.0000  0.0000  0.0000 x1  12 N 2.88
Ge  0.5000  0.5000  0.5000 x1  6 N 2.03
N  0.0000  0.5000  0.5000 x3  2 Ge 2.03

The following is a PBE-GGA calculation of BaGeN2 after structural relaxation, from Alexandria via LeMat-Bulk.

Values from the calculation:
- formation energy from raw total energies (meV per atom) = -447
- size of the total moment (μB per formula unit) = 0.000
- raw total energy (eV/atom) = -6.25

Unit cell a=9.1119 b=9.1112 c=12.7421 alpha=90.00 beta=100.30 gamma=90.00
Last column: nearest neighbours and their distance in Å.
Space group C2/c (No. 15)
Symmetry-distinct sites (fractional):
Ba  0.0332  0.1880  0.3868 x8  6 N 2.84-2.93
Ba  0.2136  0.4394  0.1016 x8  6 N 2.75-2.95
Ge  0.1021  0.1885  0.6649 x8  4 N 1.90-1.94
Ge  0.1442  0.4348  0.8350 x8  4 N 1.89-1.96
N  0.0000  0.0686  0.7500 x4  2 Ge 1.90
N  0.0000  0.4450  0.2500 x4  2 Ge 1.90
N  0.0424  0.3115  0.9256 x8  2 Ge 1.94-1.96
N  0.2078  0.0624  0.5819 x8  2 Ge 1.93-1.94
N  0.2435  0.3112  0.7508 x8  2 Ge 1.89-1.90

The following is a PBE-GGA calculation of Ba2GeN after structural relaxation, from Alexandria via LeMat-Bulk.

Values from the calculation:
- formation energy from raw total energies (meV per atom) = 336
- size of the total moment (μB per formula unit) = 2.769
- raw total energy (eV/atom) = -3.86

Unit cell a=7.7207 b=7.7207 c=7.7207 alpha=90.00 beta=90.00 gamma=90.00
Last column: nearest neighbours and their distance in Å.
Space group Fm-3m (No. 225)
Symmetry-distinct sites (fractional):
Ba  0.2500  0.2500  0.2500 x8  4 Ge 3.34, 4 N 3.34
Ge  0.0000  0.0000  0.0000 x4  8 Ba 3.34
N  0.0000  0.0000  0.5000 x4  8 Ba 3.34

The following is a PBE-GGA calculation of Ba6GeN2 after structural relaxation, from Alexandria via LeMat-Bulk.

Values from the calculation:
- formation energy from raw total energies (meV per atom) = -322
- size of the total moment (μB per formula unit) = 0.187
- raw total energy (eV/atom) = -3.97

Unit cell a=13.6597 b=5.6763 c=10.0092 alpha=90.00 beta=107.65 gamma=90.00
Last column: nearest neighbours and their distance in Å.
Space group C2/m (No. 12)
Symmetry-distinct sites (fractional):
Ba  0.0424  0.0000  0.1932 x4  1 N 2.57
Ba  0.1484  0.5000  0.6157 x4  1 N 2.60
Ba  0.2137  0.5000  0.0848 x4  3 N 2.70-2.89
Ge  0.0000  0.0000  0.5000 x2  6 Ba 3.29-3.48
N  0.2143  0.0000  0.1381 x4  3 Ba 2.57-2.70

The following is a PBE-GGA calculation of Ba7GeN6 after structural relaxation, from Alexandria via LeMat-Bulk.

Values from the calculation:
- formation energy from raw total energies (meV per atom) = -417
- size of the total moment (μB per formula unit) = 0.000
- raw total energy (eV/atom) = -5.28

Unit cell a=12.5875 b=7.0273 c=14.6144 alpha=90.00 beta=90.00 gamma=90.00
Last column: nearest neighbours and their distance in Å.
Space group Pbcn (No. 60)
Symmetry-distinct sites (fractional):
Ba  0.0000  0.0702  0.2500 x4  4 N 2.78-2.97
Ba  0.0367  0.2413  0.5171 x8  4 N 2.71-3.02
Ba  0.2111  0.3986  0.1280 x8  4 N 2.68-2.97
Ba  0.2189  0.3554  0.8737 x8  4 N 2.64-2.96
Ge  0.0000  0.4157  0.7500 x4  4 N 1.94-1.97
N  0.0398  0.4264  0.3537 x8  1 Ge 1.94
N  0.1188  0.2533  0.7108 x8  1 Ge 1.97
N  0.1640  0.1069  0.0010 x8  6 Ba 2.64-2.96

The following is a PBE-GGA calculation of BaGe2N after structural relaxation, from Alexandria via LeMat-Bulk.

Values from the calculation:
- formation energy from raw total energies (meV per atom) = 254
- size of the total moment (μB per formula unit) = 0.000
- raw total energy (eV/atom) = -4.62

Unit cell a=7.1122 b=7.1122 c=7.2155 alpha=90.00 beta=90.00 gamma=90.00
Last column: nearest neighbours and their distance in Å.
Space group I-42d (No. 122)
Symmetry-distinct sites (fractional):
Ba  0.0000  0.0000  0.0000 x4  8 Ge 3.34-3.38, 2 N 3.61
Ge  0.1157  0.7500  0.6250 x8  2 N 2.16
N  0.0000  0.0000  0.5000 x4  4 Ge 2.16

The following is a PBE-GGA calculation of Ba3Ge2N4 after structural relaxation, from Alexandria via LeMat-Bulk.

Values from the calculation:
- formation energy from raw total energies (meV per atom) = -379
- size of the total moment (μB per formula unit) = 0.000
- raw total energy (eV/atom) = -5.75

Unit cell a=5.8711 b=16.5243 c=7.8487 alpha=90.00 beta=90.00 gamma=90.00
Last column: nearest neighbours and their distance in Å.
Space group Imma (No. 74)
Symmetry-distinct sites (fractional):
Ba  0.0000  0.1128  0.0703 x8  5 N 2.72-3.02
Ba  0.0000  0.2500  0.5961 x4  6 N 3.21-3.31, 2 Ge 3.44
Ge  0.0000  0.0432  0.6435 x8  4 N 1.88-1.94
N  0.0000  0.0715  0.4060 x8  2 Ge 1.92-1.94
N  0.2500  0.0934  0.7500 x8  2 Ge 1.88

The following is a PBE-GGA calculation of Ba2GeN after structural relaxation, from Alexandria via LeMat-Bulk.

Values from the calculation:
- formation energy from raw total energies (meV per atom) = -517
- size of the total moment (μB per formula unit) = 0.000
- raw total energy (eV/atom) = -4.71

Unit cell a=7.9288 b=5.7553 c=10.2057 alpha=90.00 beta=90.00 gamma=90.00
Last column: nearest neighbours and their distance in Å.
Space group Pnma (No. 62)
Symmetry-distinct sites (fractional):
Ba  0.0248  0.2500  0.2003 x4  2 N 2.75-2.85
Ba  0.1555  0.2500  0.5777 x4  3 N 2.88-2.90
Ge  0.2358  0.2500  0.9049 x4  1 N 1.89
N  0.1564  0.7500  0.5702 x4  1 Ge 1.89

The following is a PBE-GGA calculation of Ba2GeN after structural relaxation, from Alexandria via LeMat-Bulk.

Values from the calculation:
- formation energy from raw total energies (meV per atom) = -21
- size of the total moment (μB per formula unit) = 0.001
- raw total energy (eV/atom) = -4.22

Unit cell a=3.9139 b=3.9139 c=29.4875 alpha=90.00 beta=90.00 gamma=120.00
Last column: nearest neighbours and their distance in Å.
Space group R-3m (No. 166, hexagonal axes)
Symmetry-distinct sites (fractional):
Ba  0.0000  0.0000  0.1148 x6  3 N 2.73
Ge  0.0000  0.0000  0.0000 x3  2 Ba 3.39
N  0.0000  0.0000  0.5000 x3  6 Ba 2.73

The following is a PBE-GGA calculation of BaGeN3 after structural relaxation, from Alexandria via LeMat-Bulk.

Values from the calculation:
- formation energy from raw total energies (meV per atom) = -109
- size of the total moment (μB per formula unit) = 0.000
- raw total energy (eV/atom) = -6.41

Unit cell a=3.4449 b=4.8265 c=10.3022 alpha=90.00 beta=94.23 gamma=90.00
Last column: nearest neighbours and their distance in Å.
Space group P2_1/m (No. 11)
Symmetry-distinct sites (fractional):
Ba  0.0711  0.2500  0.2736 x2  3 N 2.74
Ge  0.4900  0.2500  0.9472 x2  2 N 1.98
N  0.0310  0.7500  0.1472 x2  2 Ge 1.98
N  0.2844  0.7500  0.4966 x2  1 N 1.16
N  0.4897  0.7500  0.4124 x2  1 N 1.16

The following is a PBE-GGA calculation of Ba5Ge2N6 after structural relaxation, from Alexandria via LeMat-Bulk.

Values from the calculation:
- formation energy from raw total energies (meV per atom) = -504
- size of the total moment (μB per formula unit) = 0.000
- raw total energy (eV/atom) = -5.80

Unit cell a=10.7888 b=7.1461 c=14.3812 alpha=90.00 beta=99.44 gamma=90.00
Last column: nearest neighbours and their distance in Å.
Space group C2/c (No. 15)
Symmetry-distinct sites (fractional):
Ba  0.0000  0.1106  0.2500 x4  2 N 2.67
Ba  0.0525  0.2302  0.9920 x8  5 N 2.81-3.13
Ba  0.1562  0.4291  0.7111 x8  5 N 2.63-2.85
Ge  0.2246  0.3670  0.4247 x8  4 N 1.87-2.01
N  0.0634  0.4544  0.3764 x8  1 Ge 1.87
N  0.1496  0.0653  0.6481 x8  1 Ge 1.91
N  0.2107  0.0895  0.4425 x8  2 Ge 1.95-2.01

The following is a PBE-GGA calculation of BaGeN2 after structural relaxation, from Alexandria via LeMat-Bulk.

Values from the calculation:
- formation energy from raw total energies (meV per atom) = -78
- size of the total moment (μB per formula unit) = 0.000
- raw total energy (eV/atom) = -5.88

Unit cell a=4.3354 b=4.3354 c=18.3707 alpha=90.00 beta=90.00 gamma=120.00
Last column: nearest neighbours and their distance in Å.
Space group R-3m (No. 166, hexagonal axes)
Symmetry-distinct sites (fractional):
Ba  0.0000  0.0000  0.0000 x3  6 N 2.85
Ge  0.0000  0.0000  0.5000 x3  2 N 1.70
N  0.0000  0.0000  0.4075 x6  1 Ge 1.70

The following is a PBE-GGA calculation of Ba2GeN after structural relaxation, from Alexandria via LeMat-Bulk.

Values from the calculation:
- formation energy from raw total energies (meV per atom) = -1
- size of the total moment (μB per formula unit) = 0.000
- raw total energy (eV/atom) = -4.20

Unit cell a=7.8060 b=7.8060 c=8.6845 alpha=90.00 beta=90.00 gamma=90.00
Last column: nearest neighbours and their distance in Å.
Space group I-42d (No. 122)
Symmetry-distinct sites (fractional):
Ba  0.1672  0.2500  0.1250 x8  2 N 2.59
Ge  0.0000  0.0000  0.5000 x4  4 Ba 3.43
N  0.0000  0.0000  0.0000 x4  4 Ba 2.59

The following is a PBE-GGA calculation of Ba3GeN3 after structural relaxation, from Alexandria via LeMat-Bulk.

Values from the calculation:
- formation energy from raw total energies (meV per atom) = -456
- size of the total moment (μB per formula unit) = 0.000
- raw total energy (eV/atom) = -5.51

Unit cell a=7.1265 b=13.1608 c=8.0560 alpha=90.00 beta=112.37 gamma=90.00
Last column: nearest neighbours and their distance in Å.
Space group C2/m (No. 12)
Symmetry-distinct sites (fractional):
Ba  0.0000  0.1483  0.0000 x4  4 N 2.67-2.78
Ba  0.0000  0.2312  0.5000 x4  4 N 2.69-2.76
Ba  0.0238  0.5000  0.2767 x4  5 N 2.88-3.17
Ge  0.0671  0.0000  0.3362 x4  3 N 1.91-1.92
N  0.1712  0.0000  0.8805 x4  1 Ge 1.92
N  0.2323  0.1177  0.3619 x8  1 Ge 1.91

The following is a PBE-GGA calculation of Ba2GeN2 after structural relaxation, from Alexandria via LeMat-Bulk.

Values from the calculation:
- formation energy from raw total energies (meV per atom) = -231
- size of the total moment (μB per formula unit) = 0.000
- raw total energy (eV/atom) = -5.25

Unit cell a=12.2221 b=5.7961 c=7.4872 alpha=90.00 beta=121.95 gamma=90.00
Last column: nearest neighbours and their distance in Å.
Space group C2/m (No. 12)
Symmetry-distinct sites (fractional):
Ba  0.0373  0.0000  0.2830 x4  4 N 2.74-2.95
Ba  0.1804  0.5000  0.1077 x4  4 N 2.79-2.90
Ge  0.1373  0.5000  0.6309 x4  3 N 1.97-2.00
N  0.0082  0.5000  0.3204 x4  2 Ge 2.00
N  0.1885  0.0000  0.1139 x4  1 Ge 1.97

The following is a PBE-GGA calculation of Ba6Ge2N after structural relaxation, from Alexandria via LeMat-Bulk.

Values from the calculation:
- formation energy from raw total energies (meV per atom) = -455
- size of the total moment (μB per formula unit) = 0.938
- raw total energy (eV/atom) = -3.69

Unit cell a=7.7093 b=8.2184 c=13.5404 alpha=90.00 beta=124.64 gamma=90.00
Last column: nearest neighbours and their distance in Å.
Space group P2_1/c (No. 14)
Symmetry-distinct sites (fractional):
Ba  0.1259  0.2075  0.4487 x4  1 N 2.82
Ba  0.2365  0.6771  0.4453 x4  1 N 2.74
Ba  0.3359  0.0302  0.2362 x4  1 N 2.75
Ge  0.2235  0.0723  0.7467 x4  6 Ba 3.34-3.70
N  0.0000  0.0000  0.0000 x2  6 Ba 2.74-2.82